No. 1
Y5ScBi6 | Alexandria | PBE | optimized geometry; energy of formation from the pure elements = -0.851 eV/atom; SG = C2/m (12)
1.0
7.704 0.213 0.000
2.373 7.331 0.000
1.186 3.666 6.676
Bi Y Sc
6 5 1
direct
0.244 0.919 0.675
0.756 0.081 0.325
0.244 0.594 0.325
0.752 0.758 0.000
0.248 0.242 0.000
0.756 0.406 0.675
0.500 0.500 0.000
0.500 0.170 0.659
0.000 0.335 0.331
0.500 0.830 0.341
0.000 0.665 0.669
0.000 0.000 0.000

No. 2
AgIrOs2 | Alexandria | PBE | optimized geometry; energy of formation from the pure elements = 0.607 eV/atom; SG = I-4m2 (119)
1.0
-3.328 2.327 -2.588
-3.424 -3.057 -1.455
1.946 0.873 4.317
Os Ag Ir
2 1 1
direct
0.000 0.000 0.000
0.250 0.750 0.500
0.500 0.500 0.000
0.750 0.250 0.500

No. 3
Tl2HgAs | Alexandria | PBE | optimized geometry; energy of formation from the pure elements = 0.117 eV/atom; SG = Pmm2 (25)
1.0
3.412 0.000 0.000
0.000 4.032 0.000
0.000 0.000 8.075
Tl As Hg
2 1 1
direct
0.500 0.500 0.296
0.000 0.000 0.959
0.000 0.000 0.527
0.500 0.500 0.718

No. 4
Bi3SO3 | Alexandria | PBE | optimized geometry; SG = R-3 (148); formation energy without anion corrections = -0.8823 eV/atom
1.0
6.929 0.000 0.000
3.465 6.001 0.000
3.465 2.000 6.820
Bi O S
6 6 2
direct
0.578 0.926 0.276
0.422 0.074 0.724
0.926 0.220 0.276
0.074 0.780 0.724
0.780 0.422 0.724
0.220 0.578 0.276
0.226 0.910 0.389
0.090 0.526 0.611
0.526 0.774 0.611
0.910 0.474 0.389
0.474 0.226 0.389
0.774 0.090 0.611
0.668 0.668 0.997
0.332 0.332 0.003

No. 5
PmAg2Pt | Alexandria | PBE | optimized geometry; energy of formation from the pure elements = -0.416 eV/atom; SG = P4/mmm (123)
1.0
-3.769 -0.406 -3.198
-1.985 -2.413 2.646
-1.772 3.291 1.671
Pt Pm Ag
1 1 2
direct
0.500 0.500 0.500
0.500 0.000 0.000
0.000 0.000 0.500
0.000 0.500 0.000

No. 6
Ti2CdRu | Alexandria | PBE | optimized geometry; energy of formation from the pure elements = 0.125 eV/atom; SG = I-42d (122)
1.0
-6.996 -0.331 -1.851
-1.190 -4.741 5.347
-4.648 -0.450 3.474
Ru Ti Cd
2 4 2
direct
0.250 0.750 0.500
0.500 0.500 0.000
0.580 0.125 0.250
0.875 0.830 0.750
0.375 0.420 0.750
0.170 0.625 0.250
0.750 0.250 0.500
0.000 0.000 0.000

No. 7
RuPt2Cl | Alexandria | PBE | optimized geometry; SG = P4mm (99); formation energy without anion corrections = 0.3586 eV/atom
1.0
2.883 0.000 0.000
0.000 2.883 0.000
0.000 0.000 8.111
Pt Cl Ru
2 1 1
direct
0.000 0.000 0.043
0.500 0.500 0.276
0.500 0.500 0.693
0.000 0.000 0.487

No. 8
Be2Sb2Ru | Alexandria | PBE | optimized geometry; SG = I4/mmm (139); formation energy without anion corrections = 0.4420 eV/atom
1.0
5.119 0.000 0.000
0.000 5.119 0.000
2.560 2.560 3.257
Sb Ru Be
2 1 2
direct
0.750 0.250 0.500
0.250 0.750 0.500
0.000 0.000 0.000
0.658 0.658 0.683
0.342 0.342 0.317

No. 9
Ta2MnCl | Alexandria | PBE | optimized geometry; SG = R3m (160); formation energy without anion corrections = 0.1113 eV/atom
1.0
-1.437 4.096 -8.071
1.298 2.794 -8.630
-1.288 1.163 -8.998
Mn Ta Cl
1 2 1
direct
0.734 0.734 0.734
0.247 0.247 0.247
0.004 0.004 0.004
0.514 0.514 0.514

No. 10
K2Pd2PtO6 | Alexandria | PBE | optimized geometry; SG = C2/m (12); formation energy without anion corrections = -0.7566 eV/atom
1.0
5.516 0.174 0.019
-2.575 4.881 0.019
-1.090 -1.874 6.042
O Pd K Pt
6 2 2 1
direct
0.261 0.261 0.343
0.037 0.371 0.673
0.629 0.963 0.327
0.739 0.739 0.657
0.371 0.037 0.673
0.963 0.629 0.327
0.666 0.334 0.500
0.334 0.666 0.500
0.175 0.825 0.000
0.825 0.175 0.000
0.000 0.000 0.500

No. 11
MnPt2W | Alexandria | PBE | optimized geometry; energy of formation from the pure elements = -0.220 eV/atom; SG = Cm (8)
1.0
4.795 0.001 0.007
3.992 2.657 0.007
0.853 0.258 4.760
Pt Mn W
2 1 1
direct
0.753 0.753 0.728
0.996 0.996 0.020
0.247 0.247 0.237
0.504 0.504 0.514

No. 12
Nd2Zr3Sn4 | Alexandria | PBE | optimized geometry; energy of formation from the pure elements = -0.693 eV/atom; SG = P2_1/c (14)
1.0
-2.348 -6.922 2.726
6.671 -0.864 -4.252
4.331 1.117 6.567
Sn Zr Nd
8 6 4
direct
0.140 0.510 0.864
0.855 0.086 0.540
0.360 0.490 0.364
0.860 0.490 0.136
0.145 0.914 0.460
0.645 0.914 0.040
0.640 0.510 0.636
0.355 0.086 0.960
0.000 0.500 0.500
0.500 0.500 0.000
0.252 0.746 0.171
0.752 0.746 0.329
0.248 0.254 0.671
0.748 0.254 0.829
0.059 0.186 0.169
0.559 0.186 0.331
0.441 0.814 0.669
0.941 0.814 0.831